This record from Alexandria via LeMat-Bulk describes a relaxed V2FeRhN crystal. The functional is PBE.

**Calculated total energy**: -44.9 eV for the cell shown
**Raw formation energy**: -505 meV/atom

Lattice parameters (Å, degrees): 3.926 3.926 3.759 90.00 90.00 90.00
Positions (direct):
V  0.000  0.500  0.000
V  0.500  0.000  0.000
Fe  0.000  0.000  0.500
Rh  0.500  0.500  0.500
N  0.000  0.000  0.000

This record from Alexandria via LeMat-Bulk describes a relaxed FeRhW2N crystal. The functional is PBE.

**Calculated total energy**: -50.4 eV for the cell shown
**Raw formation energy**: -69 meV/atom

Lattice parameters (Å, degrees): 4.091 4.091 3.832 90.00 90.00 90.00
Positions (direct):
Fe  0.000  0.000  0.000
Rh  0.500  0.500  0.000
W  0.000  0.500  0.500
W  0.500  0.000  0.500
N  0.000  0.000  0.500

This record from Alexandria via LeMat-Bulk describes a relaxed FeRh2WN crystal. The functional is PBE.

**Calculated total energy**: -32.5 eV for the cell shown
**Raw formation energy**: 2380 meV/atom

Lattice parameters (Å, degrees): 4.714 4.714 4.604 90.00 90.00 90.00
Positions (direct):
Fe  0.000  0.000  0.000
Rh  0.000  0.500  0.500
Rh  0.500  0.000  0.500
W  0.000  0.000  0.500
N  0.500  0.500  0.000

This record from Alexandria via LeMat-Bulk describes a relaxed ZnFeRh2N crystal. The functional is PBE.

**Calculated total energy**: -33.0 eV for the cell shown
**Raw formation energy**: -48 meV/atom

Lattice parameters (Å, degrees): 4.120 4.120 3.702 90.00 90.00 90.00
Positions (direct):
Zn  0.000  0.000  0.000
Fe  0.500  0.500  0.000
Rh  0.000  0.500  0.500
Rh  0.500  0.000  0.500
N  0.500  0.500  0.500

This record from Alexandria via LeMat-Bulk describes a relaxed ZnFe2RhN crystal. The functional is PBE.

**Calculated total energy**: -34.4 eV for the cell shown
**Raw formation energy**: -98 meV/atom

Lattice parameters (Å, degrees): 3.770 3.770 4.163 90.00 90.00 90.00
Positions (direct):
Zn  0.000  0.000  0.000
Fe  0.000  0.500  0.500
Fe  0.500  0.000  0.500
Rh  0.500  0.500  0.000
N  0.500  0.500  0.500

This record from Alexandria via LeMat-Bulk describes a relaxed Zr2FeRhN crystal. The functional is PBE.

**Calculated total energy**: -45.4 eV for the cell shown
**Raw formation energy**: -832 meV/atom

Lattice parameters (Å, degrees): 4.522 4.522 3.677 90.00 90.00 90.00
Positions (direct):
Zr  0.000  0.500  0.000
Zr  0.500  0.000  0.000
Fe  0.000  0.000  0.500
Rh  0.500  0.500  0.500
N  0.000  0.000  0.000

This record from Alexandria via LeMat-Bulk describes a relaxed FeRuN2 crystal. The functional is PBE.

**Calculated total energy**: -98.5 eV for the cell shown
**ΔE to the lowest computed polymorph**: 318.5 meV per atom
**Raw formation energy**: 390 meV/atom

Lattice parameters (Å, degrees): 2.688 2.688 18.666 90.00 90.00 120.00
Positions (direct):
Fe  0.000  0.000  0.000
Fe  0.333  0.667  0.667
Fe  0.667  0.333  0.333
Ru  0.000  0.000  0.500
Ru  0.333  0.667  0.167
Ru  0.667  0.333  0.833
N  0.000  0.000  0.396
N  0.000  0.000  0.604
N  0.333  0.667  0.063
N  0.333  0.667  0.270
N  0.667  0.333  0.730
N  0.667  0.333  0.937

This record from Alexandria via LeMat-Bulk describes a relaxed FeRuN2 crystal. The functional is PBE.

**Calculated total energy**: -121.9 eV for the cell shown
**ΔE to the lowest computed polymorph**: 906.9 meV per atom
**Raw formation energy**: 979 meV/atom

Lattice parameters (Å, degrees): 5.180 5.180 5.180 90.00 90.00 90.00
Positions (direct):
Fe  0.000  0.000  0.000
Fe  0.000  0.500  0.500
Fe  0.500  0.000  0.500
Fe  0.500  0.500  0.000
Ru  0.000  0.000  0.500
Ru  0.000  0.500  0.000
Ru  0.500  0.000  0.000
Ru  0.500  0.500  0.500
N  0.250  0.250  0.250
N  0.250  0.250  0.750
N  0.250  0.750  0.250
N  0.250  0.750  0.750
N  0.750  0.250  0.250
N  0.750  0.250  0.750
N  0.750  0.750  0.250
N  0.750  0.750  0.750

This record from Alexandria via LeMat-Bulk describes a relaxed FeRuN2 crystal. The functional is PBE.

**Calculated total energy**: -136.4 eV for the cell shown
**ΔE to the lowest computed polymorph**: 0.0 meV per atom
**Raw formation energy**: 72 meV/atom

Lattice parameters (Å, degrees): 4.425 4.425 8.673 90.00 90.00 90.00
Positions (direct):
Fe  0.000  0.000  0.000
Fe  0.000  0.500  0.250
Fe  0.500  0.000  0.750
Fe  0.500  0.500  0.500
Ru  0.000  0.000  0.500
Ru  0.000  0.500  0.750
Ru  0.500  0.000  0.250
Ru  0.500  0.500  0.000
N  0.221  0.250  0.125
N  0.250  0.721  0.375
N  0.250  0.779  0.875
N  0.279  0.250  0.625
N  0.721  0.750  0.625
N  0.750  0.221  0.875
N  0.750  0.279  0.375
N  0.779  0.750  0.125

This record from Alexandria via LeMat-Bulk describes a relaxed FeRu2N crystal. The functional is PBE.

**Calculated total energy**: -131.7 eV for the cell shown
**Raw formation energy**: 605 meV/atom

Lattice parameters (Å, degrees): 5.122 5.122 8.932 90.00 90.00 90.00
Positions (direct):
Fe  0.000  0.000  0.000
Fe  0.000  0.500  0.250
Fe  0.500  0.000  0.750
Fe  0.500  0.500  0.500
Ru  0.174  0.250  0.625
Ru  0.250  0.674  0.875
Ru  0.250  0.826  0.375
Ru  0.326  0.250  0.125
Ru  0.674  0.750  0.125
Ru  0.750  0.174  0.375
Ru  0.750  0.326  0.875
Ru  0.826  0.750  0.625
N  0.000  0.000  0.500
N  0.000  0.500  0.750
N  0.500  0.000  0.250
N  0.500  0.500  0.000

This record from Alexandria via LeMat-Bulk describes a relaxed FeRuN3 crystal. The functional is PBE.

**Calculated total energy**: -35.8 eV for the cell shown
**Raw formation energy**: 1375 meV/atom

Lattice parameters (Å, degrees): 3.603 3.603 3.603 90.00 90.00 90.00
Positions (direct):
Fe  0.000  0.000  0.000
Ru  0.500  0.500  0.500
N  0.000  0.000  0.500
N  0.000  0.500  0.000
N  0.500  0.000  0.000

This record from Alexandria via LeMat-Bulk describes a relaxed Fe2RuN crystal. The functional is PBE.

**Calculated total energy**: -130.4 eV for the cell shown
**Raw formation energy**: 481 meV/atom

Lattice parameters (Å, degrees): 4.946 4.946 8.167 90.00 90.00 90.00
Positions (direct):
Fe  0.164  0.250  0.125
Fe  0.250  0.664  0.375
Fe  0.250  0.836  0.875
Fe  0.336  0.250  0.625
Fe  0.664  0.750  0.625
Fe  0.750  0.164  0.875
Fe  0.750  0.336  0.375
Fe  0.836  0.750  0.125
Ru  0.000  0.000  0.500
Ru  0.000  0.500  0.750
Ru  0.500  0.000  0.250
Ru  0.500  0.500  0.000
N  0.000  0.000  0.000
N  0.000  0.500  0.250
N  0.500  0.000  0.750
N  0.500  0.500  0.500

This record from Alexandria via LeMat-Bulk describes a relaxed Fe2RuN crystal. The functional is PBE.

**Calculated total energy**: -98.3 eV for the cell shown
**Raw formation energy**: 439 meV/atom

Lattice parameters (Å, degrees): 2.784 2.784 19.880 90.00 90.00 120.00
Positions (direct):
Fe  0.000  0.000  0.116
Fe  0.000  0.000  0.884
Fe  0.333  0.667  0.551
Fe  0.333  0.667  0.783
Fe  0.667  0.333  0.217
Fe  0.667  0.333  0.449
Ru  0.000  0.000  0.000
Ru  0.333  0.667  0.667
Ru  0.667  0.333  0.333
N  0.000  0.000  0.500
N  0.333  0.667  0.167
N  0.667  0.333  0.833

This record from Alexandria via LeMat-Bulk describes a relaxed FeRuN3 crystal. The functional is PBE.

**Calculated total energy**: -34.1 eV for the cell shown
**Raw formation energy**: 1724 meV/atom

Lattice parameters (Å, degrees): 3.798 3.798 3.798 90.00 90.00 90.00
Positions (direct):
Fe  0.000  0.000  0.000
Ru  0.500  0.500  0.500
N  0.000  0.500  0.500
N  0.500  0.000  0.500
N  0.500  0.500  0.000

This record from Alexandria via LeMat-Bulk describes a relaxed FeRuSN2 crystal. The functional is PBE.

**Calculated total energy**: -33.3 eV for the cell shown
**ΔE to the lowest computed polymorph**: 122.6 meV per atom
**Raw formation energy**: 1045 meV/atom

Lattice parameters (Å, degrees): 3.531 3.531 4.804 90.00 90.00 90.00
Positions (direct):
Fe  0.000  0.000  0.000
Ru  0.500  0.500  0.500
S  0.000  0.000  0.500
N  0.000  0.500  0.000
N  0.500  0.000  0.000

This record from Alexandria via LeMat-Bulk describes a relaxed FeRuS2N crystal. The functional is PBE.

**Calculated total energy**: -30.9 eV for the cell shown
**ΔE to the lowest computed polymorph**: 0.0 meV per atom
**Raw formation energy**: 676 meV/atom

Lattice parameters (Å, degrees): 4.536 4.536 3.322 90.00 90.00 90.00
Positions (direct):
Fe  0.000  0.000  0.000
Ru  0.500  0.500  0.500
S  0.000  0.500  0.000
S  0.500  0.000  0.000
N  0.000  0.000  0.500

This record from Alexandria via LeMat-Bulk describes a relaxed FeRuSN2 crystal. The functional is PBE.

**Calculated total energy**: -33.9 eV for the cell shown
**ΔE to the lowest computed polymorph**: 0.0 meV per atom
**Raw formation energy**: 922 meV/atom

Lattice parameters (Å, degrees): 3.736 3.736 5.208 90.00 90.00 90.00
Positions (direct):
Fe  0.000  0.000  0.000
Ru  0.500  0.500  0.500
S  0.500  0.500  0.000
N  0.000  0.500  0.500
N  0.500  0.000  0.500

This record from Alexandria via LeMat-Bulk describes a relaxed FeRuS2N crystal. The functional is PBE.

**Calculated total energy**: -30.8 eV for the cell shown
**ΔE to the lowest computed polymorph**: 19.2 meV per atom
**Raw formation energy**: 695 meV/atom

Lattice parameters (Å, degrees): 4.799 4.799 3.628 90.00 90.00 90.00
Positions (direct):
Fe  0.000  0.000  0.000
Ru  0.500  0.500  0.500
S  0.000  0.500  0.500
S  0.500  0.000  0.500
N  0.500  0.500  0.000

This record from Alexandria via LeMat-Bulk describes a relaxed FeRuSe2N crystal. The functional is PBE.

**Calculated total energy**: -30.1 eV for the cell shown
**ΔE to the lowest computed polymorph**: 0.0 meV per atom
**Raw formation energy**: 595 meV/atom

Lattice parameters (Å, degrees): 4.782 4.782 3.325 90.00 90.00 90.00
Positions (direct):
Fe  0.000  0.000  0.000
Ru  0.500  0.500  0.500
Se  0.000  0.500  0.000
Se  0.500  0.000  0.000
N  0.000  0.000  0.500

This record from Alexandria via LeMat-Bulk describes a relaxed FeRuSe2N crystal. The functional is PBE.

**Calculated total energy**: -29.7 eV for the cell shown
**ΔE to the lowest computed polymorph**: 64.8 meV per atom
**Raw formation energy**: 660 meV/atom

Lattice parameters (Å, degrees): 5.071 5.071 3.621 90.00 90.00 90.00
Positions (direct):
Fe  0.000  0.000  0.000
Ru  0.500  0.500  0.500
Se  0.000  0.500  0.500
Se  0.500  0.000  0.500
N  0.500  0.500  0.000